This record from the Alexandria database describes a relaxed structure of CoI2OF. The functional is PBE with a Hubbard U.

V	21.94	Å³ per atom
E	-3.148	eV per atom
SG	P4/mmm, No. 123
total magnetic moment	4.10	μB/cell

Cell lengths 5.6361, 5.6361, 3.4530 Å; angles 90.00, 90.00, 90.00 degrees
With the nearest neighbours (Å) after each atom.
Element x y z (fractional)
Co: 0.0000 0.0000 0.0000  2 O 1.73
I: 0.0000 0.5000 0.0000  2 Co 2.82
I: 0.5000 0.0000 0.0000  2 Co 2.82
O: 0.0000 0.0000 0.5000  2 Co 1.73
F: 0.5000 0.5000 0.5000  8 I 3.30, 2 F 3.45